Material: Na2Tl5Pb4
Method: DFT, PBE
State: optimized geometry

Unit cell a=14.667 b=14.667 c=14.667 alpha=21.35 beta=21.35 gamma=21.35
Sites, in units of the cell vectors:
Na 0.109 0.109 0.109
Na 0.891 0.891 0.891
Tl 0.193 0.193 0.193
Tl 0.350 0.350 0.350
Tl 0.500 0.500 0.500
Tl 0.650 0.650 0.650
Tl 0.807 0.807 0.807
Pb 0.272 0.272 0.272
Pb 0.422 0.422 0.422
Pb 0.578 0.578 0.578
Pb 0.728 0.728 0.728

As for the density of states at the Fermi level: 0.525 states/eV per atom. The offset from the most stable computed form is 27.6 meV per atom. The total energy is -2.665 eV/atom. The value obtained for the energy of formation from the pure elements is 0.00 eV/atom.